Material: TcTe2S
Method: DFT, PBE-GGA
State: optimized geometry

Cell: 8.3611 8.3611 8.3611 Å, 26.91 26.91 26.91°
Closest atoms and distances in Å follow each position.
Sites, in units of the cell vectors:
S1 0.0000 0.0000 0.0000  2 Te 2.52
Te1 0.8958 0.8958 0.8958  1 S 2.52, 3 Tc 2.71
Te2 0.1042 0.1042 0.1042  1 S 2.52, 3 Tc 2.71
Tc1 0.5000 0.5000 0.5000  6 Te 2.71

The volume is 105.6 Å³/cell. As for the space group: R-3m (166). The crystal system is trigonal. For the final energy, the calculation gives -4.916 eV per atom. The calculation puts the energy relative to the elements, uncorrected at 278.0 meV/atom.